Record 1
Density functional theory data (SCAN) for a PBEsol-optimized structure of SrMgBr2.

## Properties
Calculated density in g/cm3: 3.79
Polymorph energy (0 for the lowest one) in eV per atom: 0.3769
Uncorrected formation energy in eV/atom: -0.90

Cell and atoms, written as CIF:
```
data_SrMgBr2
_cell_length_a 7.811
_cell_length_b 7.811
_cell_length_c 7.811
_cell_angle_alpha 90.00
_cell_angle_beta 90.00
_cell_angle_gamma 90.00
_space_group_name_H-M_alt 'F -4 3 m'
_space_group_IT_number 216
_space_group_name_Hall 'F -4 2 3'
loop_
_atom_site_label
_atom_site_type_symbol
_atom_site_fract_x
_atom_site_fract_y
_atom_site_fract_z
Sr1 Sr 0.000 0.000 0.000
Mg1 Mg 0.250 0.250 0.250
Br1 Br 0.000 0.000 0.500
Br2 Br 0.250 0.250 0.750
```

=====

Record 2
Density functional theory data (SCAN) for a PBEsol-optimized structure of SrMgBr2.

## Properties
Calculated density in g/cm3: 4.05
Polymorph energy (0 for the lowest one) in eV per atom: 0.1338
Uncorrected formation energy in eV/atom: -1.15

Cell and atoms, written as CIF:
```
data_SrMgBr2
_cell_length_a 5.104
_cell_length_b 5.104
_cell_length_c 4.273
_cell_angle_alpha 90.00
_cell_angle_beta 90.00
_cell_angle_gamma 90.00
_space_group_name_H-M_alt 'P 4/m m m'
_space_group_IT_number 123
_space_group_name_Hall '-P 4 2'
loop_
_atom_site_label
_atom_site_type_symbol
_atom_site_fract_x
_atom_site_fract_y
_atom_site_fract_z
Sr1 Sr 0.000 0.000 0.000
Mg1 Mg 0.500 0.500 0.000
Br1 Br 0.000 0.500 0.500
```